Here is a relaxed structure of Zr2Ti3Nb2 from Alexandria. Energies are from PBE.

## Properties
- Size of the total moment: 0.0 μB per formula unit
- Energy of formation: 60 kJ/mol of formula units
- Density of states at the Fermi level: 1.32 states/eV/atom

a = 8.806 Å, b = 4.581 Å, c = 7.052 Å
α = 90.00°, β = 109.16°, γ = 90.00°
Space group C2/m (No. 12)
Asymmetric unit:
Zr 0.103 0.000 0.222 [4 per cell]
Ti 0.000 0.500 0.500 [2 per cell]
Ti 0.127 0.500 0.923 [4 per cell]
Nb 0.191 0.000 0.671 [4 per cell]